Entry 1:
CsEr6Te8 | PBE | relaxed

Output
Distance to the lowest polymorph of the same formula ... 0.0 meV/atom
Theoretical density ... 6.9 g/cm3
Formation energy without anion corrections ... -1.330 eV per atom

```
data_CsEr6Te8
_space_group_name_H-M_alt 'P -3'
_space_group_IT_number 147
_cell_length_a 11.6367
_cell_length_b 11.6367
_cell_length_c 4.4251
_cell_angle_alpha 90.00
_cell_angle_beta 90.00
_cell_angle_gamma 120.00
loop_
_space_group_symop_operation_xyz
'x,y,z'
'-x,-y,-z'
'-y,x-y,z'
'y,-x+y,-z'
'-x+y,-x,z'
'x-y,x,-z'
loop_
_atom_site_label
_atom_site_type_symbol
_atom_site_fract_x
_atom_site_fract_y
_atom_site_fract_z
Cs1 Cs 0.0000 0.0000 0.0000
Er1 Er 0.1377 0.6502 0.2490
Te1 Te 0.0443 0.3523 0.2515
Te2 Te 0.3333 0.6667 0.7496
```



Entry 2:
CaLaBr2 | PBE | relaxed

Output
Distance to the lowest polymorph of the same formula ... 118.8 meV/atom
Theoretical density ... 4.4 g/cm3
Formation energy without anion corrections ... -1.176 eV per atom

```
data_CaLaBr2
_space_group_name_H-M_alt 'C m m m'
_space_group_IT_number 65
_space_group_name_Hall '-C 2 2'
_cell_length_a 3.7820
_cell_length_b 6.9838
_cell_length_c 9.7556
_cell_angle_alpha 90.00
_cell_angle_beta 90.00
_cell_angle_gamma 90.00
loop_
_atom_site_label
_atom_site_type_symbol
_atom_site_fract_x
_atom_site_fract_y
_atom_site_fract_z
Ca1 Ca 0.0000 0.0000 0.0000
La1 La 0.0000 0.0000 0.5000
Br1 Br 0.0000 0.5000 0.2440
```



Entry 3:
KReN3 | PBE | relaxed

Output
Theoretical density ... 7.2 g/cm3
Formation energy without anion corrections ... 3.968 eV per atom

```
data_KReN3
_space_group_name_H-M_alt 'P m -3 m'
_space_group_IT_number 221
_space_group_name_Hall '-P 4 2 3'
_cell_length_a 3.9445
_cell_length_b 3.9445
_cell_length_c 3.9445
_cell_angle_alpha 90.00
_cell_angle_beta 90.00
_cell_angle_gamma 90.00
loop_
_atom_site_label
_atom_site_type_symbol
_atom_site_fract_x
_atom_site_fract_y
_atom_site_fract_z
K1 K 0.0000 0.0000 0.0000
Re1 Re 0.5000 0.5000 0.5000
N1 N 0.0000 0.0000 0.5000
```



Entry 4:
LiTaCoGe2 | PBE | relaxed

Output
Distance to the lowest polymorph of the same formula ... 0.0 meV/atom
Theoretical density ... 9.0 g/cm3
Energy of formation from the pure elements ... 668 meV per atom

```
data_LiTaCoGe2
_space_group_name_H-M_alt 'P 4/m m m'
_space_group_IT_number 123
_space_group_name_Hall '-P 4 2'
_cell_length_a 4.3683
_cell_length_b 4.3683
_cell_length_c 3.7779
_cell_angle_alpha 90.00
_cell_angle_beta 90.00
_cell_angle_gamma 90.00
loop_
_atom_site_label
_atom_site_type_symbol
_atom_site_fract_x
_atom_site_fract_y
_atom_site_fract_z
Li1 Li 0.0000 0.0000 0.0000
Ta1 Ta 0.5000 0.5000 0.5000
Co1 Co 0.0000 0.0000 0.5000
Ge1 Ge 0.0000 0.5000 0.0000
```



- Which value of theoretical density does entry 1 give?
  6.9 g/cm3